Here is crystalline Tb2Pr6Nd3Mg at its relaxed geometry from Alexandria. Energies are from PBE-GGA.

Computed properties:
As for the total energy: -53.556 eV/cell. The formation energy from the elements is 0.023 eV/atom. The calculation puts the magnetization at 0.000 μB per atom. As for the space group: C2/m, No. 12.

a = 6.343 Å, b = 6.343 Å, c = 12.000 Å
α = 95.10°, β = 95.10°, γ = 120.10°
Fractional positions:
Tb 0.167 0.833 0.000
Tb 0.833 0.167 0.000
Pr 0.088 0.420 0.755
Pr 0.249 0.249 0.246
Pr 0.420 0.088 0.755
Pr 0.580 0.912 0.245
Pr 0.751 0.751 0.754
Pr 0.912 0.580 0.245
Nd 0.000 0.000 0.500
Nd 0.333 0.667 0.500
Nd 0.667 0.333 0.500
Mg 0.500 0.500 0.000